Material: BaSrEuWO6
Method: DFT, PBE with a Hubbard U
State: optimized geometry

Computed properties:
- Excess energy over the best structure of this formula in the dataset: 0 meV per atom
- Uncorrected energy: -155.34 eV/cell
- Calculated volume: 15.71 Å³/atom
- Symmetry: P-1

abc: 6.003 6.090 8.594
angles: 90.00 91.08 89.64
Last column: magnetic moment on the atom in μB.
Sites, in units of the cell vectors:
O (0.490, 0.077, 0.224)  0.01
O (0.023, 0.558, 0.733)  -0.01
Sr (0.532, 0.495, 0.268)  0.00
O (0.510, 0.923, 0.776)  0.01
W (0.500, 0.000, 0.000)  0.02
O (0.238, 0.813, 0.022)  -0.01
Ba (0.997, 0.999, 0.751)  0.00
O (0.693, 0.746, 0.050)  -0.01
O (0.188, 0.236, 0.527)  0.00
W (0.000, 0.500, 0.500)  0.89
Eu (0.000, 0.500, 0.000)  6.48
O (0.977, 0.442, 0.267)  -0.01
Ba (0.003, 0.001, 0.249)  0.00
O (0.716, 0.318, 0.530)  0.03
Sr (0.468, 0.505, 0.732)  0.00
O (0.812, 0.764, 0.473)  0.00
O (0.307, 0.254, 0.950)  -0.01
Eu (0.500, 0.000, 0.500)  -6.47
O (0.284, 0.682, 0.470)  0.03
O (0.762, 0.187, 0.978)  -0.01

***

Material: BaSrEuWO6
Method: DFT, PBE with a Hubbard U
State: optimized geometry

Computed properties:
- Excess energy over the best structure of this formula in the dataset: 111 meV per atom
- Uncorrected energy: -76.56 eV/cell
- Calculated volume: 16.24 Å³/atom
- Symmetry: F-43m

abc: 6.124 6.124 6.124
angles: 60.00 60.00 60.00
Last column: magnetic moment on the atom in μB.
Sites, in units of the cell vectors:
O (0.725, 0.725, 0.275)  -0.01
O (0.275, 0.725, 0.275)  -0.01
O (0.275, 0.725, 0.725)  -0.01
Sr (0.000, 0.000, 0.000)  0.00
W (0.500, 0.500, 0.500)  0.02
O (0.725, 0.275, 0.275)  -0.01
O (0.275, 0.275, 0.725)  -0.01
O (0.725, 0.275, 0.725)  -0.01
Eu (0.250, 0.250, 0.250)  6.89
Ba (0.750, 0.750, 0.750)  0.00

***

Material: BaSrEuWO6
Method: DFT, PBE with a Hubbard U
State: optimized geometry

Computed properties:
- Excess energy over the best structure of this formula in the dataset: 55 meV per atom
- Uncorrected energy: -154.24 eV/cell
- Calculated volume: 15.86 Å³/atom
- Symmetry: P42_12

abc: 6.015 6.015 8.766
angles: 90.00 90.00 90.00
Last column: magnetic moment on the atom in μB.
Sites, in units of the cell vectors:
O (0.151, 0.789, 0.738)  -0.01
O (0.500, 0.000, 0.032)  0.00
O (0.500, 0.000, 0.482)  -0.01
Ba (0.500, 0.500, 0.000)  0.00
O (0.789, 0.151, 0.262)  -0.01
O (0.211, 0.849, 0.262)  -0.01
O (0.289, 0.349, 0.738)  -0.01
O (0.349, 0.289, 0.262)  -0.01
O (0.000, 0.500, 0.518)  -0.01
O (0.000, 0.500, 0.968)  0.00
W (0.000, 0.500, 0.740)  0.08
Sr (0.500, 0.000, 0.751)  0.01
Eu (0.500, 0.500, 0.500)  6.83
Sr (0.000, 0.500, 0.249)  0.01
O (0.651, 0.711, 0.262)  -0.01
O (0.849, 0.211, 0.738)  -0.01
Eu (0.000, 0.000, 0.500)  6.83
O (0.711, 0.651, 0.738)  -0.01
Ba (0.000, 0.000, 0.000)  0.00
W (0.500, 0.000, 0.260)  0.08